! CeErTm, relaxed, DFT GGA-PBE; values from VASP
&SYSTEM
  ibrav = 0, nat = 12, ntyp = 3
/
ATOMIC_SPECIES
Ce 140.12 Ce.upf
Er 167.26 Er.upf
Tm 168.93 Tm.upf
ATOMIC_POSITIONS crystal
Ce 0.0006 0.4994 0.2500
Ce 0.4994 0.0006 0.7500
Ce 0.5006 0.9994 0.2500
Ce 0.9994 0.5006 0.7500
Er 0.0005 0.9995 0.3428
Er 0.4995 0.5005 0.8428
Er 0.5005 0.4995 0.1572
Er 0.9995 0.0005 0.6572
Tm 0.1573 0.1573 0.0000
Tm 0.3427 0.3427 0.5000
Tm 0.6573 0.6573 0.5000
Tm 0.8427 0.8427 0.0000
CELL_PARAMETERS angstrom
5.2667 -3.2155 0.0000
5.2667 3.2155 0.0000
0.0000 0.0000 10.5350
! - Calculated volume: 356.8 Å³ per cell
! - DFT formation energy: 73 kJ/mol of formula units
! - Distance to the lowest polymorph of the same formula: 0.194 eV/atom
! - DOS at the Fermi energy: 25.609 states/eV per cell
! - Raw total energy: -56.83 eV for the cell shown

! SnBi2H, relaxed, DFT GGA-PBE; values from VASP
&SYSTEM
  ibrav = 0, nat = 8, ntyp = 3
/
ATOMIC_SPECIES
Sn 118.71 Sn.upf
Bi 208.98 Bi.upf
H 1.01 H.upf
ATOMIC_POSITIONS crystal
Sn 0.0000 0.0000 0.0000
Sn 0.7500 0.2500 0.5000
Bi 0.2206 0.6250 0.0956
Bi 0.3750 0.4706 0.5956
Bi 0.5294 0.1250 0.9044
Bi 0.8750 0.7794 0.4044
H 0.2500 0.7500 0.5000
H 0.5000 0.5000 0.0000
CELL_PARAMETERS angstrom
-3.2112 3.2112 5.3331
3.2112 -3.2112 5.3331
3.2112 3.2112 -5.3331
! - Calculated volume: 220.0 Å³ per cell
! - Distance to the lowest polymorph of the same formula: 0.000 eV/atom
! - DOS at the Fermi energy: 3.075 states/eV per cell
! - Raw total energy: -27.41 eV for the cell shown